1.
## TaCoSi2 (PBE)

Data for an optimized crystal structure of TaCoSi2.

CIF file:
```
data_TaCoSi2
_chemical_formula_sum 'Ta2 Co2 Si4'
_cell_length_a 3.760
_cell_length_b 3.760
_cell_length_c 8.903
_cell_angle_alpha 77.81
_cell_angle_beta 77.81
_cell_angle_gamma 90.00
_space_group_name_H-M_alt 'P 1'
_space_group_IT_number 1
_space_group_name_Hall 'P 1'
loop_
_atom_site_label
_atom_site_type_symbol
_atom_site_fract_x
_atom_site_fract_y
_atom_site_fract_z
Si1 Si 0.579 0.125 0.250
Si2 Si 0.171 0.625 0.250
Si3 Si 0.375 0.421 0.750
Si4 Si 0.875 0.829 0.750
Co1 Co 0.500 0.500 0.000
Co2 Co 0.250 0.750 0.500
Ta1 Ta 0.000 0.000 0.000
Ta2 Ta 0.750 0.250 0.500
```

## Properties
As for the space group: I-42d, No. 122. The calculation puts the total energy at -29.4 eV per formula unit. Its uncorrected formation energy is 0.4 eV per formula unit. The calculation puts the total magnetic moment at 0.00 μB/cell. As for the density of states at the Fermi level: 3.6 states/eV/f.u.

2.
## Nd4Sm15In (PBE)

Data for an optimized crystal structure of Nd4Sm15In.

CIF file:
```
data_Nd4Sm15In
_chemical_formula_sum 'Nd4 Sm15 In1'
_cell_length_a 5.085
_cell_length_b 5.085
_cell_length_c 25.782
_cell_angle_alpha 90.00
_cell_angle_beta 90.00
_cell_angle_gamma 90.00
_space_group_name_H-M_alt 'P 1'
_space_group_IT_number 1
_space_group_name_Hall 'P 1'
loop_
_atom_site_label
_atom_site_type_symbol
_atom_site_fract_x
_atom_site_fract_y
_atom_site_fract_z
Nd1 Nd 0.000 0.000 0.197
Nd2 Nd 0.000 0.000 0.399
Nd3 Nd 0.000 0.000 0.601
Nd4 Nd 0.000 0.000 0.803
Sm1 Sm 0.500 0.500 0.000
Sm2 Sm 0.500 0.500 0.195
Sm3 Sm 0.500 0.500 0.398
Sm4 Sm 0.500 0.500 0.602
Sm5 Sm 0.500 0.500 0.805
Sm6 Sm 0.500 0.000 0.095
Sm7 Sm 0.500 0.000 0.298
Sm8 Sm 0.500 0.000 0.500
Sm9 Sm 0.500 0.000 0.702
Sm10 Sm 0.500 0.000 0.905
Sm11 Sm 0.000 0.500 0.095
Sm12 Sm 0.000 0.500 0.298
Sm13 Sm 0.000 0.500 0.500
Sm14 Sm 0.000 0.500 0.702
Sm15 Sm 0.000 0.500 0.905
In1 In 0.000 0.000 0.000
```

## Properties
As for the space group: P4/mmm, No. 123. The calculation puts the total energy at -93.3 eV per formula unit. The calculation puts the total magnetic moment at 0.00 μB/cell. The energy of formation from the pure elements comes out at -0.68 eV/f.u. As for the density of states at the Fermi level: 26.2 states/eV/f.u.

3.
## PaIn2Hg (PBE)

Data for an optimized crystal structure of PaIn2Hg.

CIF file:
```
data_PaIn2Hg
_chemical_formula_sum 'Pa1 In2 Hg1'
_cell_length_a 4.574
_cell_length_b 4.663
_cell_length_c 4.663
_cell_angle_alpha 90.00
_cell_angle_beta 90.00
_cell_angle_gamma 90.00
_space_group_name_H-M_alt 'P 1'
_space_group_IT_number 1
_space_group_name_Hall 'P 1'
loop_
_atom_site_label
_atom_site_type_symbol
_atom_site_fract_x
_atom_site_fract_y
_atom_site_fract_z
Pa1 Pa 0.500 0.500 0.500
Hg1 Hg 0.500 0.000 0.000
In1 In 0.000 0.000 0.500
In2 In 0.000 0.500 0.000
```

## Properties
As for the space group: P4/mmm, No. 123. The calculation puts the total energy at -15.5 eV per formula unit. The calculation puts the total magnetic moment at 0.82 μB/cell. The energy of formation from the pure elements comes out at -0.25 eV/f.u. As for the density of states at the Fermi level: 5.0 states/eV/f.u.

4.
## Be2CuSe (PBE)

Data for an optimized crystal structure of Be2CuSe.

CIF file:
```
data_Be2CuSe
_chemical_formula_sum 'Be2 Cu1 Se1'
_cell_length_a 3.385
_cell_length_b 3.430
_cell_length_c 5.292
_cell_angle_alpha 71.28
_cell_angle_beta 90.00
_cell_angle_gamma 90.00
_space_group_name_H-M_alt 'P 1'
_space_group_IT_number 1
_space_group_name_Hall 'P 1'
loop_
_atom_site_label
_atom_site_type_symbol
_atom_site_fract_x
_atom_site_fract_y
_atom_site_fract_z
Be1 Be 0.000 0.871 0.135
Be2 Be 0.500 0.378 0.118
Cu1 Cu 0.000 0.229 0.420
Se1 Se 0.500 0.022 0.827
```

## Properties
As for the space group: Pm, No. 6. The calculation puts the total energy at -14.9 eV per formula unit. Its uncorrected formation energy is 0.1 eV per formula unit. The calculation puts the total magnetic moment at 0.00 μB/cell. As for the density of states at the Fermi level: 0.7 states/eV/f.u.

5.
## Sr2LiPd2 (PBE)

Data for an optimized crystal structure of Sr2LiPd2.

CIF file:
```
data_Sr2LiPd2
_chemical_formula_sum 'Sr4 Li2 Pd4'
_cell_length_a 8.626
_cell_length_b 8.626
_cell_length_c 3.656
_cell_angle_alpha 90.00
_cell_angle_beta 90.00
_cell_angle_gamma 90.00
_space_group_name_H-M_alt 'P 1'
_space_group_IT_number 1
_space_group_name_Hall 'P 1'
loop_
_atom_site_label
_atom_site_type_symbol
_atom_site_fract_x
_atom_site_fract_y
_atom_site_fract_z
Sr1 Sr 0.350 0.850 0.000
Sr2 Sr 0.850 0.650 0.000
Sr3 Sr 0.650 0.150 0.000
Sr4 Sr 0.150 0.350 0.000
Pd1 Pd 0.147 0.647 0.500
Pd2 Pd 0.647 0.853 0.500
Pd3 Pd 0.853 0.353 0.500
Pd4 Pd 0.353 0.147 0.500
Li1 Li 0.000 0.000 0.000
Li2 Li 0.500 0.500 0.000
```

## Properties
As for the space group: P4/mbm, No. 127. The calculation puts the total energy at -17.0 eV per formula unit. The calculation puts the total magnetic moment at 0.00 μB/cell. The energy of formation from the pure elements comes out at -1.32 eV/f.u. As for the density of states at the Fermi level: 2.1 states/eV/f.u.

6.
## Na6Tl12Sn (PBE)

Data for an optimized crystal structure of Na6Tl12Sn.

CIF file:
```
data_Na6Tl12Sn
_chemical_formula_sum 'Na6 Tl12 Sn1'
_cell_length_a 8.667
_cell_length_b 8.667
_cell_length_c 8.667
_cell_angle_alpha 71.91
_cell_angle_beta 71.91
_cell_angle_gamma 71.91
_space_group_name_H-M_alt 'P 1'
_space_group_IT_number 1
_space_group_name_Hall 'P 1'
loop_
_atom_site_label
_atom_site_type_symbol
_atom_site_fract_x
_atom_site_fract_y
_atom_site_fract_z
Na1 Na 0.138 0.138 0.543
Na2 Na 0.862 0.457 0.862
Na3 Na 0.457 0.862 0.862
Na4 Na 0.862 0.862 0.457
Na5 Na 0.138 0.543 0.138
Na6 Na 0.543 0.138 0.138
Tl1 Tl 0.514 0.189 0.514
Tl2 Tl 0.189 0.514 0.514
Tl3 Tl 0.514 0.514 0.189
Tl4 Tl 0.486 0.811 0.486
Tl5 Tl 0.811 0.486 0.486
Tl6 Tl 0.486 0.486 0.811
Tl7 Tl 0.109 0.753 0.753
Tl8 Tl 0.247 0.891 0.247
Tl9 Tl 0.247 0.247 0.891
Tl10 Tl 0.891 0.247 0.247
Tl11 Tl 0.753 0.109 0.753
Tl12 Tl 0.753 0.753 0.109
Sn1 Sn 0.000 0.000 0.000
```

## Properties
As for the space group: R-3m, No. 166. The calculation puts the total energy at -41.7 eV per formula unit. The calculation puts the total magnetic moment at 0.00 μB/cell. The energy of formation from the pure elements comes out at -1.37 eV/f.u. As for the density of states at the Fermi level: 9.2 states/eV/f.u.

7.
## Dy2CrCd (PBE)

Data for an optimized crystal structure of Dy2CrCd.

CIF file:
```
data_Dy2CrCd
_chemical_formula_sum 'Dy2 Cr1 Cd1'
_cell_length_a 5.180
_cell_length_b 5.180
_cell_length_c 5.180
_cell_angle_alpha 60.00
_cell_angle_beta 60.00
_cell_angle_gamma 60.00
_space_group_name_H-M_alt 'P 1'
_space_group_IT_number 1
_space_group_name_Hall 'P 1'
loop_
_atom_site_label
_atom_site_type_symbol
_atom_site_fract_x
_atom_site_fract_y
_atom_site_fract_z
Cr1 Cr 0.000 0.000 0.000
Cd1 Cd 0.500 0.500 0.500
Dy1 Dy 0.250 0.250 0.250
Dy2 Dy 0.750 0.750 0.750
```

## Properties
As for the space group: Fm-3m, No. 225. The calculation puts the total energy at -19.6 eV per formula unit. The calculation puts the total magnetic moment at 3.52 μB/cell. The energy of formation from the pure elements comes out at 0.12 eV/f.u. As for the density of states at the Fermi level: 1.8 states/eV/f.u.

8.
## Pm2TmAgHg4 (PBE)

Data for an optimized crystal structure of Pm2TmAgHg4.

CIF file:
```
data_Pm2TmAgHg4
_chemical_formula_sum 'Pm2 Tm1 Ag1 Hg4'
_cell_length_a 5.175
_cell_length_b 5.175
_cell_length_c 9.145
_cell_angle_alpha 73.56
_cell_angle_beta 73.56
_cell_angle_gamma 60.00
_space_group_name_H-M_alt 'P 1'
_space_group_IT_number 1
_space_group_name_Hall 'P 1'
loop_
_atom_site_label
_atom_site_type_symbol
_atom_site_fract_x
_atom_site_fract_y
_atom_site_fract_z
Pm1 Pm 0.757 0.757 0.729
Pm2 Pm 0.243 0.243 0.271
Tm1 Tm 0.000 0.000 0.000
Ag1 Ag 0.500 0.500 0.500
Hg1 Hg 0.370 0.370 0.890
Hg2 Hg 0.877 0.877 0.369
Hg3 Hg 0.123 0.123 0.631
Hg4 Hg 0.630 0.630 0.110
```

## Properties
As for the space group: R-3m, No. 166. The calculation puts the total energy at -21.3 eV per formula unit. The calculation puts the total magnetic moment at 0.00 μB/cell. The energy of formation from the pure elements comes out at -3.26 eV/f.u. As for the density of states at the Fermi level: 6.1 states/eV/f.u.

9.
## Cs2CaO (PBE)

Data for an optimized crystal structure of Cs2CaO.

CIF file:
```
data_Cs2CaO
_chemical_formula_sum 'Cs4 Ca2 O2'
_cell_length_a 13.792
_cell_length_b 13.792
_cell_length_c 9.998
_cell_angle_alpha 46.39
_cell_angle_beta 46.39
_cell_angle_gamma 90.00
_space_group_name_H-M_alt 'P 1'
_space_group_IT_number 1
_space_group_name_Hall 'P 1'
loop_
_atom_site_label
_atom_site_type_symbol
_atom_site_fract_x
_atom_site_fract_y
_atom_site_fract_z
Cs1 Cs 0.440 0.125 0.250
Cs2 Cs 0.310 0.625 0.250
Cs3 Cs 0.375 0.560 0.750
Cs4 Cs 0.875 0.690 0.750
Ca1 Ca 0.000 0.000 0.000
Ca2 Ca 0.750 0.250 0.500
O1 O 0.500 0.500 0.000
O2 O 0.250 0.750 0.500
```

## Properties
As for the space group: I-42d, No. 122. The calculation puts the total energy at -12.2 eV per formula unit. Its uncorrected formation energy is -3.5 eV per formula unit. The calculation puts the total magnetic moment at 0.00 μB/cell. As for the density of states at the Fermi level: 3.0 states/eV/f.u.

10.
## Rb3Na (PBE)

Data for an optimized crystal structure of Rb3Na.

CIF file:
```
data_Rb3Na
_chemical_formula_sum 'Rb3 Na1'
_cell_length_a 7.488
_cell_length_b 7.488
_cell_length_c 7.488
_cell_angle_alpha 60.00
_cell_angle_beta 60.00
_cell_angle_gamma 60.00
_space_group_name_H-M_alt 'P 1'
_space_group_IT_number 1
_space_group_name_Hall 'P 1'
loop_
_atom_site_label
_atom_site_type_symbol
_atom_site_fract_x
_atom_site_fract_y
_atom_site_fract_z
Na1 Na 0.000 0.000 0.000
Rb1 Rb 0.250 0.250 0.250
Rb2 Rb 0.750 0.750 0.750
Rb3 Rb 0.500 0.500 0.500
```

## Properties
As for the space group: Fm-3m, No. 225. The calculation puts the total energy at -4.1 eV per formula unit. The calculation puts the total magnetic moment at 0.00 μB/cell. The energy of formation from the pure elements comes out at 0.15 eV/f.u. As for the density of states at the Fermi level: 3.5 states/eV/f.u.

11.
## Pr2GaO (PBE)

Data for an optimized crystal structure of Pr2GaO.

CIF file:
```
data_Pr2GaO
_chemical_formula_sum 'Pr2 Ga1 O1'
_cell_length_a 3.770
_cell_length_b 3.770
_cell_length_c 7.643
_cell_angle_alpha 75.72
_cell_angle_beta 75.72
_cell_angle_gamma 60.00
_space_group_name_H-M_alt 'P 1'
_space_group_IT_number 1
_space_group_name_Hall 'P 1'
loop_
_atom_site_label
_atom_site_type_symbol
_atom_site_fract_x
_atom_site_fract_y
_atom_site_fract_z
Pr1 Pr 0.732 0.732 0.805
Pr2 Pr 0.268 0.268 0.195
O1 O 0.000 0.000 0.000
Ga1 Ga 0.500 0.500 0.500
```

## Properties
As for the space group: R-3m, No. 166. The calculation puts the total energy at -23.6 eV per formula unit. Its uncorrected formation energy is -6.1 eV per formula unit. The calculation puts the total magnetic moment at 0.00 μB/cell. As for the density of states at the Fermi level: 1.8 states/eV/f.u.

12.
## Cs5InBr6 (PBE)

Data for an optimized crystal structure of Cs5InBr6.

CIF file:
```
data_Cs5InBr6
_chemical_formula_sum 'Cs5 In1 Br6'
_cell_length_a 8.899
_cell_length_b 8.907
_cell_length_c 8.909
_cell_angle_alpha 60.01
_cell_angle_beta 80.38
_cell_angle_gamma 70.48
_space_group_name_H-M_alt 'P 1'
_space_group_IT_number 1
_space_group_name_Hall 'P 1'
loop_
_atom_site_label
_atom_site_type_symbol
_atom_site_fract_x
_atom_site_fract_y
_atom_site_fract_z
Cs1 Cs 0.500 0.168 0.664
Cs2 Cs 0.000 0.333 0.333
Cs3 Cs 0.500 0.500 0.000
Cs4 Cs 0.000 0.667 0.667
Cs5 Cs 0.500 0.832 0.336
In1 In 0.000 0.000 0.000
Br1 Br 0.758 0.081 0.318
Br2 Br 0.242 0.601 0.318
Br3 Br 0.240 0.237 0.000
Br4 Br 0.760 0.763 0.000
Br5 Br 0.758 0.399 0.682
Br6 Br 0.242 0.919 0.682
```

## Properties
As for the space group: C2/m, No. 12. The calculation puts the total energy at -36.1 eV per formula unit. Its uncorrected formation energy is -19.1 eV per formula unit. The calculation puts the total magnetic moment at 0.00 μB/cell. As for the density of states at the Fermi level: 0.0 states/eV/f.u.